Compound: Tb2Pm3Pr6Nd
Source: the Alexandria database
Functional: GGA-PBE
Structure: optimized geometry

Lattice parameters (Å, degrees): 6.371 6.371 12.123 95.04 95.04 120.02
Element x y z (fractional)
Pr: 0.917 0.583 0.751
Pr: 0.417 0.083 0.249
Pr: 0.083 0.417 0.249
Pr: 0.749 0.749 0.249
Pr: 0.251 0.251 0.751
Pr: 0.583 0.917 0.751
Tb: 0.666 0.334 0.000
Tb: 0.334 0.666 0.000
Pm: 0.167 0.833 0.500
Pm: 0.833 0.167 0.500
Pm: 0.500 0.500 0.500
Nd: 0.000 0.000 0.000

Computed properties:
The calculation puts the raw total energy at -4.734 eV/atom. The energy of formation from the pure elements comes out at 14 kJ/mol of formula units. As for the calculated volume: 34.95 A^3/atom.